A plane-wave DFT calculation with PBE-GGA was carried out for an optimized crystal structure of Na4Np3ScSe8.

Unit cell a=8.4510 b=8.4510 c=8.4510 alpha=58.55 beta=58.55 gamma=58.55
With the nearest neighbours (Å) after each atom.
Positions (direct):
Na: 0.0000 0.0000 0.0000  6 Se 3.12
Na: 0.0000 0.5000 0.5000  6 Se 3.02-3.03
Na: 0.5000 0.0000 0.5000  6 Se 3.02-3.03
Na: 0.5000 0.5000 0.0000  6 Se 3.02-3.03
Np: 0.0000 0.0000 0.5000  6 Se 2.88-2.90
Np: 0.0000 0.5000 0.0000  6 Se 2.88-2.90
Np: 0.5000 0.0000 0.0000  6 Se 2.88-2.90
Sc: 0.5000 0.5000 0.5000  6 Se 2.79
Se: 0.2441 0.2441 0.2441  3 Np 2.88, 3 Na 3.03
Se: 0.2545 0.7361 0.7361  1 Sc 2.79, 2 Np 2.90, 3 Na 3.02-3.12
Se: 0.2639 0.2639 0.7455  1 Sc 2.79, 2 Np 2.90, 3 Na 3.02-3.12
Se: 0.2639 0.7455 0.2639  1 Sc 2.79, 2 Np 2.90, 3 Na 3.02-3.12
Se: 0.7361 0.2545 0.7361  1 Sc 2.79, 2 Np 2.90, 3 Na 3.02-3.12
Se: 0.7361 0.7361 0.2545  1 Sc 2.79, 2 Np 2.90, 3 Na 3.02-3.12
Se: 0.7455 0.2639 0.2639  1 Sc 2.79, 2 Np 2.90, 3 Na 3.02-3.12
Se: 0.7559 0.7559 0.7559  3 Np 2.88, 3 Na 3.03

Values from the calculation:
- crystal system = trigonal
- electronic total energy (eV/atom) = -6.180
- volume (Å³ per cell) = 412.7
- space group = R-3m
- uncorrected formation energy (eV/atom) = -1.29

A plane-wave DFT calculation with PBE-GGA was carried out for an optimized crystal structure of Pr10Sn3Bi3.

Unit cell a=9.5038 b=9.5038 c=6.7507 alpha=90.00 beta=90.00 gamma=120.00
With the nearest neighbours (Å) after each atom.
Positions (direct):
Pr: 0.0000 0.2446 0.0000  3 Sn 3.24-3.47
Pr: 0.0000 0.7556 0.5000  3 Bi 3.24-3.48
Pr: 0.2444 0.2444 0.5000  3 Bi 3.24-3.48
Pr: 0.2446 0.0000 0.0000  3 Sn 3.24-3.47
Pr: 0.3333 0.6667 0.2464  2 Pr 3.33-3.42, 3 Sn 3.37, 3 Bi 3.40
Pr: 0.3333 0.6667 0.7536  2 Pr 3.33-3.42, 3 Sn 3.37, 3 Bi 3.40
Pr: 0.6667 0.3333 0.2464  2 Pr 3.33-3.42, 3 Sn 3.37, 3 Bi 3.40
Pr: 0.6667 0.3333 0.7536  2 Pr 3.33-3.42, 3 Sn 3.37, 3 Bi 3.40
Pr: 0.7554 0.7554 0.0000  3 Sn 3.24-3.47
Pr: 0.7556 0.0000 0.5000  3 Bi 3.24-3.48
Sn: 0.0000 0.6101 0.0000  7 Pr 3.24-3.47
Sn: 0.3899 0.3899 0.0000  7 Pr 3.24-3.47
Sn: 0.6101 0.0000 0.0000  7 Pr 3.24-3.47
Bi: 0.0000 0.3899 0.5000  7 Pr 3.24-3.48
Bi: 0.3899 0.0000 0.5000  7 Pr 3.24-3.48
Bi: 0.6101 0.6101 0.5000  7 Pr 3.24-3.48

Values from the calculation:
- crystal system = hexagonal
- electronic total energy (eV/atom) = -5.202
- volume (Å³ per cell) = 528.0
- space group = P-62m

A plane-wave DFT calculation with PBE-GGA was carried out for an optimized crystal structure of CeMgAl2Pd4.

Unit cell a=9.0563 b=9.0563 c=9.0563 alpha=27.69 beta=27.69 gamma=27.69
With the nearest neighbours (Å) after each atom.
Positions (direct):
Ce: 0.0000 0.0000 0.0000  8 Pd 3.05-3.41
Mg: 0.5000 0.5000 0.5000  8 Pd 2.61-2.67
Al: 0.2373 0.2373 0.2373  7 Pd 2.62-2.79
Al: 0.7627 0.7627 0.7627  7 Pd 2.62-2.79
Pd: 0.1305 0.1305 0.1305  4 Al 2.66-2.79, 3 Mg 2.67
Pd: 0.4000 0.4000 0.4000  1 Mg 2.61, 3 Al 2.62
Pd: 0.6000 0.6000 0.6000  1 Mg 2.61, 3 Al 2.62
Pd: 0.8695 0.8695 0.8695  4 Al 2.66-2.79, 3 Mg 2.67

Values from the calculation:
- crystal system = trigonal
- electronic total energy (eV/atom) = -5.256
- volume (Å³ per cell) = 141.6
- space group = R-3m

A plane-wave DFT calculation with PBE-GGA was carried out for an optimized crystal structure of CdBr3.

Unit cell a=10.7929 b=10.7929 c=10.7929 alpha=21.06 beta=21.06 gamma=21.06
With the nearest neighbours (Å) after each atom.
Positions (direct):
Cd: 0.0000 0.0000 0.0000  6 Br 2.80
Br: 0.2818 0.2818 0.2818  3 Cd 2.80
Br: 0.5000 0.5000 0.5000  12 Br 3.95-4.30
Br: 0.7182 0.7182 0.7182  3 Cd 2.80

Values from the calculation:
- crystal system = trigonal
- electronic total energy (eV/atom) = -1.864
- volume (Å³ per cell) = 142.2
- space group = R-3m
- uncorrected formation energy (eV/atom) = -0.38